# 1
A geometry-optimized ZrCoTeN2 structure, computed with PBE.

Unit cell a=4.083 b=4.083 c=6.232 alpha=90.00 beta=90.00 gamma=90.00
Each line ends with the local moment (μB).
Fractional coordinates of all 5 atoms:
1 Te 0.000 0.000 0.500  0.01
2 N 0.500 0.000 0.000  0.15
3 N 0.000 0.500 0.000  0.15
4 Co 0.500 0.500 0.500  2.05
5 Zr 0.000 0.000 0.000  -0.03

Summary:
- Formation energy without anion corrections: 0.758 eV per atom
- Relative energy among the computed polymorphs: 0 kJ/mol of formula units
- Space-group type: P4/mmm (123)
- Crystal system: tetragonal


# 2
A geometry-optimized SmYAlAg structure, computed with PBE.

Unit cell a=5.216 b=5.216 c=5.216 alpha=60.00 beta=60.00 gamma=60.00
Fractional coordinates of all 4 atoms:
1 Al 0.000 0.000 0.000
2 Ag 0.500 0.500 0.500
3 Y 0.750 0.750 0.750
4 Sm 0.250 0.250 0.250

Summary:
- Energy of formation: -1.34 eV/f.u.
- Relative energy among the computed polymorphs: 8 kJ/mol of formula units
- Space-group type: F-43m (216)
- Crystal system: cubic


# 3
A geometry-optimized Ni2PdW structure, computed with PBE.

Unit cell a=6.662 b=6.662 c=5.384 alpha=51.78 beta=51.78 gamma=90.00
Fractional coordinates of all 8 atoms:
1 W 0.750 0.250 0.500
2 W 0.000 0.000 0.000
3 Ni 0.110 0.625 0.250
4 Ni 0.640 0.125 0.250
5 Ni 0.375 0.360 0.750
6 Ni 0.875 0.890 0.750
7 Pd 0.250 0.750 0.500
8 Pd 0.500 0.500 0.000

Summary:
- Energy of formation: 2.07 eV/f.u.
- Relative energy among the computed polymorphs: 203 kJ/mol of formula units
- Space-group type: I-42d (122)
- Crystal system: tetragonal


# 4
A geometry-optimized NbFeAu structure, computed with PBE.

Unit cell a=3.002 b=4.334 c=7.340 alpha=90.00 beta=101.83 gamma=90.00
Fractional coordinates of all 6 atoms:
1 Au 0.217 0.750 0.433
2 Au 0.783 0.250 0.567
3 Fe 0.557 0.750 0.114
4 Fe 0.443 0.250 0.886
5 Nb 0.915 0.750 0.831
6 Nb 0.085 0.250 0.169

Summary:
- Energy of formation: -0.08 eV/f.u.
- Relative energy among the computed polymorphs: 0 kJ/mol of formula units
- Space-group type: P2_1/m (11)
- Crystal system: monoclinic


# 5
A geometry-optimized RbTl2Pt2 structure, computed with PBE.

Unit cell a=4.496 b=5.276 c=6.508 alpha=103.89 beta=110.20 gamma=90.00
Fractional coordinates of all 5 atoms:
1 Tl 0.648 0.566 0.295
2 Tl 0.352 0.434 0.705
3 Pt 0.746 0.138 0.491
4 Pt 0.254 0.862 0.509
5 Rb 0.000 0.000 0.000

Summary:
- Energy of formation: -0.73 eV/f.u.
- Relative energy among the computed polymorphs: 0 kJ/mol of formula units
- Space-group type: C2/m (12)
- Crystal system: monoclinic


# 6
A geometry-optimized La2Si2S7 structure, computed with PBE.

Unit cell a=5.951 b=7.177 c=7.177 alpha=101.54 beta=96.65 gamma=96.65
Fractional coordinates of all 11 atoms:
1 S 0.264 0.590 0.910
2 S 0.229 0.384 0.384
3 S 0.736 0.090 0.410
4 S 0.736 0.410 0.090
5 S 0.000 0.000 0.000
6 S 0.771 0.616 0.616
7 S 0.264 0.910 0.590
8 Si 0.080 0.775 0.775
9 Si 0.920 0.225 0.225
10 La 0.500 0.295 0.705
11 La 0.500 0.705 0.295

Summary:
- Formation energy without anion corrections: -1.213 eV per atom
- Space-group type: C2/m (12)
- Crystal system: monoclinic


# 7
A geometry-optimized MnBe2Cl structure, computed with PBE.

Unit cell a=5.061 b=5.061 c=5.061 alpha=140.77 beta=140.77 gamma=56.69
Each line ends with the local moment (μB).
Fractional coordinates of all 4 atoms:
1 Be 0.000 0.000 0.000  -0.05
2 Be 0.250 0.750 0.500  -0.08
3 Mn 0.750 0.250 0.500  3.26
4 Cl 0.500 0.500 0.000  0.08

Summary:
- Formation energy without anion corrections: 0.628 eV per atom
- Relative energy among the computed polymorphs: 215 kJ/mol of formula units
- Space-group type: I-4m2 (119)
- Crystal system: tetragonal


# 8
A geometry-optimized Sm2PtPb structure, computed with PBE.

Unit cell a=4.045 b=4.045 c=8.634 alpha=76.45 beta=76.45 gamma=60.00
Fractional coordinates of all 4 atoms:
1 Pb 0.500 0.500 0.500
2 Sm 0.266 0.266 0.202
3 Sm 0.734 0.734 0.798
4 Pt 0.000 0.000 0.000

Summary:
- Energy of formation: -2.91 eV/f.u.
- Space-group type: R-3m (166)
- Crystal system: trigonal


# 9
A geometry-optimized Ta2MnOsN structure, computed with PBE.

Unit cell a=4.251 b=4.251 c=3.769 alpha=90.00 beta=90.00 gamma=90.00
Each line ends with the local moment (μB).
Fractional coordinates of all 5 atoms:
1 Ta 0.000 0.500 0.000  -0.03
2 Ta 0.500 0.000 0.000  -0.03
3 Mn 0.000 0.000 0.500  1.92
4 N 0.000 0.000 0.000  0.02
5 Os 0.500 0.500 0.500  -0.11

Summary:
- Formation energy without anion corrections: -0.451 eV per atom
- Space-group type: P4/mmm (123)
- Crystal system: tetragonal


# 10
A geometry-optimized Mn2SiNi structure, computed with PBE.

Unit cell a=4.004 b=4.004 c=4.004 alpha=60.00 beta=60.00 gamma=60.00
Each line ends with the local moment (μB).
Fractional coordinates of all 4 atoms:
1 Si 0.750 0.750 0.750  0.01
2 Mn 0.000 0.000 0.000  0.43
3 Mn 0.250 0.250 0.250  2.76
4 Ni 0.500 0.500 0.500  0.54

Summary:
- Formation energy without anion corrections: -0.268 eV per atom
- Space-group type: F-43m (216)
- Crystal system: cubic


# 11
A geometry-optimized SrMg6C structure, computed with PBE.

Unit cell a=9.729 b=9.729 c=3.373 alpha=90.00 beta=90.00 gamma=143.14
Each line ends with the local moment (μB).
Fractional coordinates of all 8 atoms:
1 Mg 0.654 0.346 0.000  0.00
2 Mg 0.293 0.212 0.500  0.00
3 Mg 0.788 0.707 0.500  0.00
4 Mg 0.793 0.207 0.500  0.00
5 Mg 0.185 0.369 0.000  0.00
6 Mg 0.631 0.815 0.000  0.00
7 Sr 0.213 0.787 0.000  0.00
8 C 0.444 0.556 0.500  0.08

Summary:
- Energy of formation: 2.38 eV/f.u.
- Relative energy among the computed polymorphs: 0 kJ/mol of formula units
- Space-group type: Amm2 (38)
- Crystal system: orthorhombic


# 12
A geometry-optimized ScAlCd structure, computed with PBE.

Unit cell a=3.190 b=3.190 c=7.265 alpha=90.00 beta=90.00 gamma=120.00
Fractional coordinates of all 3 atoms:
1 Al 0.000 0.000 0.997
2 Cd 0.333 0.667 0.327
3 Sc 0.667 0.333 0.676

Summary:
- Energy of formation: -0.13 eV/f.u.
- Space-group type: P3m1 (156)
- Crystal system: trigonal


# 13
A geometry-optimized Mn2BeAgPb structure, computed with PBE.

Unit cell a=4.378 b=4.480 c=4.378 alpha=90.00 beta=90.00 gamma=90.00
Each line ends with the local moment (μB).
Fractional coordinates of all 5 atoms:
1 Mn 0.500 0.000 0.000  3.17
2 Mn 0.000 0.000 0.500  3.53
3 Be 0.000 0.000 0.000  -0.14
4 Ag 0.000 0.500 0.000  -0.02
5 Pb 0.500 0.500 0.500  -0.08

Summary:
- Energy of formation: 2.34 eV/f.u.
- Space-group type: P4/mmm (123)
- Crystal system: tetragonal


# 14
A geometry-optimized KReSi structure, computed with PBE.

Unit cell a=6.625 b=6.625 c=6.625 alpha=150.97 beta=150.97 gamma=41.52
Fractional coordinates of all 3 atoms:
1 K 0.997 0.997 0.000
2 Re 0.273 0.273 0.000
3 Si 0.731 0.731 0.000

Summary:
- Formation energy without anion corrections: 0.476 eV per atom
- Relative energy among the computed polymorphs: 0 kJ/mol of formula units
- Space-group type: I4mm (107)
- Crystal system: tetragonal